Below is a relaxed structure of NaGaPbF6, with properties calculated at the PBE level.

The structure in POSCAR format:
```
NaGaPbF6
1.0
-0.2857 -0.6778 -5.5551
4.0774 -2.7325 -2.7035
-2.5139 -4.4111 0.6673
F Ga Pb Na
6 1 1 1
Cartesian
1.6966 -3.1747 -3.3447
0.7057 -4.8638 -1.4516
-1.6977 -3.5053 -1.5209
-0.5976 -4.4857 -3.8566
0.6391 -2.2146 -0.9811
-0.7039 -1.8097 -3.3599
0.0070 -3.3423 -2.4191
-2.7996 -5.0889 -4.8877
1.2708 -4.4789 -5.1718
```

Computed properties:
Final energy   -4.769 eV per atom
Crystal system   trigonal

Below is a relaxed structure of NaGaPb2F8, with properties calculated at the PBE level.

The structure in POSCAR format:
```
NaGaPb2F8
1.0
5.1890 -0.0573 0.0143
-0.0206 5.2385 0.0108
0.0282 0.0321 7.3908
F Pb Na Ga
8 2 1 1
Cartesian
0.9420 4.4616 5.8889
3.7221 4.0189 7.1305
1.6275 1.5497 3.5273
0.6854 4.0319 1.3606
4.2545 0.7518 1.5269
4.5111 1.1814 6.0553
1.4744 1.1944 0.2854
3.5690 3.6636 3.8885
2.7673 2.7066 1.8175
2.4292 2.5067 5.5984
0.0141 0.0160 3.6954
0.0000 0.0000 0.0000
```

Computed properties:
Final energy   -4.754 eV per atom
Crystal system   triclinic

Below is a relaxed structure of Na2Ga3PbF12, with properties calculated at the PBE level.

The structure in POSCAR format:
```
Na2Ga3PbF12
1.0
7.1661 -0.2112 -0.1498
3.3554 6.3356 -0.1498
3.3554 1.9531 6.0289
Na Ga Pb F
2 3 1 12
Cartesian
4.8394 2.8169 1.9980
9.0374 5.2605 3.7312
3.5831 -0.1056 -0.0749
1.6777 0.9765 3.0144
1.6777 3.1678 -0.0749
0.0000 0.0000 0.0000
7.9667 1.8963 4.2493
4.9814 0.9808 0.6957
10.5639 4.2303 5.0336
5.9102 6.1812 1.4800
5.5832 5.9909 4.2493
8.8954 7.0966 5.0336
3.3130 3.8472 0.6957
10.5639 6.1491 2.3284
7.9667 4.6373 0.3849
8.2936 2.0866 1.4800
3.3130 1.9284 3.4009
5.9102 3.4402 5.3444
```

Computed properties:
Final energy   -4.597 eV per atom
Crystal system   trigonal

- The lowest final energy belongs to which entry?
  NaGaPbF6